A geometry-optimized Ce2CrGe4Pt3 structure. Source: Alexandria via LeMat-Bulk, functional PBE-GGA.

The structure in POSCAR format:
```
Ce2CrGe4Pt3
1.0
-1.1746 -0.8986 3.9776
3.5787 -2.2116 0.5572
4.8492 8.7027 3.3981
Ce Ge Pt Cr
2 4 3 1
direct
0.5000 0.0000 0.2494
0.0000 0.5000 0.7506
0.5000 0.0000 0.6343
0.5000 0.5000 0.0000
0.0000 0.0000 0.0000
0.0000 0.5000 0.3657
0.0000 0.0000 0.5000
0.0000 0.5000 0.1304
0.5000 0.0000 0.8696
0.5000 0.5000 0.5000
```

The value obtained for the formation energy from the elements is -0.7907 eV/atom. The calculation puts the density at 10.6 Mg/m³.